Cu3Ag2: optimized geometry, PBE-GGA.

- Distance to the lowest polymorph of the same formula: 53.7 meV/atom

Cell lengths 4.598, 2.792, 11.170 Å; angles 90.00, 91.53, 90.00 degrees
Space group Pm (No. 6)
Unique sites:
Cu 0.000 0.000 0.000 (multiplicity 1)
Cu 0.095 0.500 0.811 (multiplicity 1)
Cu 0.215 0.000 0.618 (multiplicity 1)
Cu 0.327 0.500 0.430 (multiplicity 1)
Cu 0.478 0.500 0.015 (multiplicity 1)
Cu 0.865 0.500 0.178 (multiplicity 1)
Ag 0.358 0.000 0.217 (multiplicity 1)
Ag 0.590 0.000 0.820 (multiplicity 1)
Ag 0.722 0.500 0.607 (multiplicity 1)
Ag 0.838 0.000 0.387 (multiplicity 1)


Cu3Ag2: optimized geometry, PBE-GGA.

- Distance to the lowest polymorph of the same formula: 49.9 meV/atom

Cell lengths 17.897, 2.833, 5.732 Å; angles 90.00, 99.72, 90.00 degrees
Space group Cm (No. 8)
Unique sites:
Cu 0.000 0.000 0.000 (multiplicity 2)
Cu 0.002 0.000 0.488 (multiplicity 2)
Cu 0.093 0.500 0.286 (multiplicity 2)
Cu 0.313 0.500 0.863 (multiplicity 2)
Cu 0.315 0.500 0.431 (multiplicity 2)
Cu 0.413 0.000 0.699 (multiplicity 2)
Ag 0.097 0.500 0.802 (multiplicity 2)
Ag 0.203 0.000 0.580 (multiplicity 2)
Ag 0.217 0.000 0.101 (multiplicity 2)
Ag 0.401 0.000 0.192 (multiplicity 2)


Cu3Ag2: optimized geometry, PBE-GGA.

- Distance to the lowest polymorph of the same formula: 32.5 meV/atom

Cell lengths 3.892, 18.872, 3.892 Å; angles 90.00, 90.00, 90.00 degrees
Space group Cmmm (No. 65)
Unique sites:
Cu 0.000 0.114 0.000 (multiplicity 4)
Cu 0.000 0.207 0.500 (multiplicity 4)
Cu 0.000 0.292 0.000 (multiplicity 4)
Ag 0.000 0.000 0.500 (multiplicity 2)
Ag 0.000 0.389 0.500 (multiplicity 4)
Ag 0.000 0.500 0.000 (multiplicity 2)


CuAg: optimized geometry, PBE-GGA.

Cell lengths 11.316, 2.825, 9.294 Å; angles 90.00, 126.52, 90.00 degrees
Space group C2/m (No. 12)
Unique sites:
Cu 0.021 0.000 0.265 (multiplicity 4)
Cu 0.248 0.500 0.386 (multiplicity 4)
Ag 0.000 0.500 0.000 (multiplicity 2)
Ag 0.000 0.500 0.500 (multiplicity 2)
Ag 0.235 0.500 0.858 (multiplicity 4)


Cu4Ag5: optimized geometry, PBE-GGA.

- Distance to the lowest polymorph of the same formula: 52.6 meV/atom

Cell lengths 14.224, 2.842, 8.064 Å; angles 90.00, 122.71, 90.00 degrees
Space group Cm (No. 8)
Unique sites:
Cu 0.000 0.000 0.000 (multiplicity 2)
Cu 0.043 0.500 0.305 (multiplicity 2)
Cu 0.279 0.500 0.664 (multiplicity 2)
Cu 0.390 0.500 0.323 (multiplicity 2)
Ag 0.109 0.000 0.634 (multiplicity 2)
Ag 0.162 0.500 0.991 (multiplicity 2)
Ag 0.217 0.000 0.336 (multiplicity 2)
Ag 0.336 0.000 0.990 (multiplicity 2)
Ag 0.439 0.000 0.659 (multiplicity 2)


Cu7Ag2: optimized geometry, PBE-GGA.

- Distance to the lowest polymorph of the same formula: 24.8 meV/atom

Cell lengths 3.656, 8.053, 8.063 Å; angles 90.00, 90.00, 90.00 degrees
Space group Immm (No. 71)
Unique sites:
Cu 0.000 0.000 0.000 (multiplicity 2)
Cu 0.000 0.318 0.000 (multiplicity 4)
Cu 0.000 0.333 0.340 (multiplicity 8)
Ag 0.000 0.000 0.329 (multiplicity 4)


Cu3Ag2: optimized geometry, PBE-GGA.

- Distance to the lowest polymorph of the same formula: 50.9 meV/atom

Cell lengths 8.611, 3.862, 8.591 Å; angles 90.00, 90.06, 90.00 degrees
Space group Cm (No. 8)
Unique sites:
Cu 0.000 0.000 0.000 (multiplicity 2)
Cu 0.013 0.500 0.496 (multiplicity 2)
Cu 0.092 0.000 0.679 (multiplicity 2)
Cu 0.106 0.500 0.209 (multiplicity 2)
Cu 0.208 0.000 0.410 (multiplicity 2)
Cu 0.291 0.500 0.591 (multiplicity 2)
Ag 0.190 0.500 0.895 (multiplicity 2)
Ag 0.301 0.000 0.104 (multiplicity 2)
Ag 0.394 0.000 0.780 (multiplicity 2)
Ag 0.413 0.500 0.310 (multiplicity 2)


Cu3Ag7: optimized geometry, PBE-GGA.

- Distance to the lowest polymorph of the same formula: 47.2 meV/atom

Cell lengths 4.885, 14.373, 4.883 Å; angles 90.00, 108.05, 90.00 degrees
Space group C2 (No. 5)
Unique sites:
Cu 0.000 0.000 0.000 (multiplicity 2)
Cu 0.000 0.092 0.500 (multiplicity 2)
Cu 0.000 0.500 0.500 (multiplicity 2)
Ag 0.000 0.190 0.000 (multiplicity 2)
Ag 0.000 0.297 0.500 (multiplicity 2)
Ag 0.000 0.401 0.000 (multiplicity 2)
Ag 0.000 0.591 0.000 (multiplicity 2)
Ag 0.000 0.691 0.500 (multiplicity 2)
Ag 0.000 0.800 0.000 (multiplicity 2)
Ag 0.000 0.909 0.500 (multiplicity 2)


Cu2Ag7: optimized geometry, PBE-GGA.

- Distance to the lowest polymorph of the same formula: 35.5 meV/atom

Cell lengths 2.897, 3.982, 26.092 Å; angles 90.00, 90.00, 90.00 degrees
Space group Immm (No. 71)
Unique sites:
Cu 0.000 0.000 0.111 (multiplicity 4)
Ag 0.000 0.000 0.000 (multiplicity 2)
Ag 0.000 0.000 0.221 (multiplicity 4)
Ag 0.000 0.000 0.337 (multiplicity 4)
Ag 0.000 0.000 0.442 (multiplicity 4)


CuAg: optimized geometry, PBE-GGA.

Cell lengths 2.791, 2.792, 13.351 Å; angles 89.93, 89.95, 60.25 degrees
Space group P1 (No. 1)
Unique sites:
Cu 0.000 0.000 0.000 (multiplicity 1)
Cu 0.331 0.330 0.707 (multiplicity 1)
Cu 0.664 0.661 0.854 (multiplicity 1)
Ag 0.016 0.010 0.541 (multiplicity 1)
Ag 0.342 0.340 0.167 (multiplicity 1)
Ag 0.692 0.688 0.353 (multiplicity 1)


CuAg: optimized geometry, PBE-GGA.

Cell lengths 4.773, 4.794, 7.299 Å; angles 71.30, 71.00, 80.69 degrees
Space group P1 (No. 1)
Unique sites:
Cu 0.000 0.000 0.000 (multiplicity 1)
Cu 0.003 0.829 0.371 (multiplicity 1)
Cu 0.007 0.393 0.185 (multiplicity 1)
Cu 0.516 0.913 0.675 (multiplicity 1)
Cu 0.527 0.105 0.284 (multiplicity 1)
Ag 0.008 0.614 0.789 (multiplicity 1)
Ag 0.028 0.204 0.572 (multiplicity 1)
Ag 0.492 0.701 0.090 (multiplicity 1)
Ag 0.505 0.292 0.890 (multiplicity 1)
Ag 0.522 0.522 0.478 (multiplicity 1)


Cu3Ag7: optimized geometry, PBE-GGA.

- Distance to the lowest polymorph of the same formula: 44.2 meV/atom

Cell lengths 14.603, 3.955, 5.757 Å; angles 90.00, 101.70, 90.00 degrees
Space group Cm (No. 8)
Unique sites:
Cu 0.000 0.000 0.000 (multiplicity 2)
Cu 0.091 0.500 0.273 (multiplicity 2)
Cu 0.184 0.000 0.091 (multiplicity 2)
Ag 0.093 0.500 0.806 (multiplicity 2)
Ag 0.189 0.000 0.578 (multiplicity 2)
Ag 0.285 0.500 0.373 (multiplicity 2)
Ag 0.292 0.500 0.890 (multiplicity 2)
Ag 0.395 0.000 0.691 (multiplicity 2)
Ag 0.397 0.000 0.182 (multiplicity 2)
Ag 0.495 0.500 0.481 (multiplicity 2)


CuAg: optimized geometry, PBE-GGA.

Cell lengths 14.767, 2.844, 7.337 Å; angles 90.00, 104.31, 90.00 degrees
Space group Cm (No. 8)
Unique sites:
Cu 0.000 0.000 0.000 (multiplicity 2)
Cu 0.012 0.000 0.486 (multiplicity 2)
Cu 0.219 0.000 0.118 (multiplicity 2)
Cu 0.317 0.500 0.376 (multiplicity 2)
Cu 0.417 0.000 0.216 (multiplicity 2)
Ag 0.107 0.500 0.276 (multiplicity 2)
Ag 0.110 0.500 0.817 (multiplicity 2)
Ag 0.214 0.000 0.587 (multiplicity 2)
Ag 0.314 0.500 0.921 (multiplicity 2)
Ag 0.413 0.000 0.682 (multiplicity 2)


CuAg: optimized geometry, PBE-GGA.

Cell lengths 2.8194, 2.8194, 65.7644 Å; angles 90.00, 90.00, 120.00 degrees
Space group R-3m (No. 166, hexagonal axes)
Unique sites:
Cu 0.0000 0.0000 0.0000 (multiplicity 3)
Cu 0.0000 0.0000 0.1041 (multiplicity 6)
Cu 0.0000 0.0000 0.2003 (multiplicity 6)
Ag 0.0000 0.0000 0.3003 (multiplicity 6)
Ag 0.0000 0.0000 0.4040 (multiplicity 6)
Ag 0.0000 0.0000 0.5000 (multiplicity 3)


Cu4Ag5: optimized geometry, PBE-GGA.

- Distance to the lowest polymorph of the same formula: 72.8 meV/atom

Cell lengths 2.8241, 2.8241, 20.0741 Å; angles 90.00, 90.00, 120.00 degrees
Space group P-3m1 (No. 164)
Unique sites:
Cu 0.0000 0.0000 0.1711 (multiplicity 2)
Cu 0.3333 0.6667 0.3901 (multiplicity 2)
Ag 0.0000 0.0000 0.5000 (multiplicity 1)
Ag 0.3333 0.6667 0.0620 (multiplicity 2)
Ag 0.3333 0.6667 0.7195 (multiplicity 2)


CuAg: optimized geometry, PBE-GGA.

Cell lengths 2.834, 2.834, 11.112 Å; angles 90.00, 90.00, 90.00 degrees
Space group P4mm (No. 99)
Unique sites:
Cu 0.000 0.000 0.000 (multiplicity 1)
Cu 0.000 0.000 0.335 (multiplicity 1)
Cu 0.500 0.500 0.470 (multiplicity 1)
Ag 0.000 0.000 0.637 (multiplicity 1)
Ag 0.500 0.500 0.168 (multiplicity 1)
Ag 0.500 0.500 0.833 (multiplicity 1)


Cu3Ag2: optimized geometry, PBE-GGA.

- Distance to the lowest polymorph of the same formula: 15.1 meV/atom

Cell lengths 2.823, 2.823, 17.878 Å; angles 90.00, 90.00, 90.00 degrees
Space group P4/mmm (No. 123)
Unique sites:
Cu 0.000 0.000 0.000 (multiplicity 1)
Cu 0.000 0.000 0.170 (multiplicity 2)
Cu 0.500 0.500 0.085 (multiplicity 2)
Cu 0.500 0.500 0.500 (multiplicity 1)
Ag 0.000 0.000 0.397 (multiplicity 2)
Ag 0.500 0.500 0.275 (multiplicity 2)


Cu7Ag13: optimized geometry, PBE-GGA.

- Distance to the lowest polymorph of the same formula: 0.0 meV/atom

Cell lengths 5.694, 9.702, 12.324 Å; angles 106.30, 103.18, 90.18 degrees
Space group P1 (No. 1)
Unique sites:
Cu 0.000 0.000 0.000 (multiplicity 1)
Cu 0.000 0.488 0.996 (multiplicity 1)
Cu 0.073 0.439 0.608 (multiplicity 1)
Cu 0.314 0.201 0.610 (multiplicity 1)
Cu 0.354 0.635 0.192 (multiplicity 1)
Cu 0.407 0.580 0.795 (multiplicity 1)
Cu 0.425 0.104 0.804 (multiplicity 1)
Cu 0.540 0.436 0.612 (multiplicity 1)
Cu 0.602 0.397 0.193 (multiplicity 1)
Cu 0.657 0.336 0.805 (multiplicity 1)
Cu 0.755 0.240 0.991 (multiplicity 1)
Cu 0.849 0.638 0.195 (multiplicity 1)
Cu 0.894 0.100 0.809 (multiplicity 1)
Cu 0.959 0.047 0.408 (multiplicity 1)
Ag 0.063 0.957 0.608 (multiplicity 1)
Ag 0.089 0.401 0.186 (multiplicity 1)
Ag 0.103 0.891 0.199 (multiplicity 1)
Ag 0.154 0.852 0.804 (multiplicity 1)
Ag 0.168 0.339 0.801 (multiplicity 1)
Ag 0.199 0.790 0.395 (multiplicity 1)
Ag 0.207 0.294 0.415 (multiplicity 1)
Ag 0.248 0.237 0.995 (multiplicity 1)
Ag 0.254 0.733 0.995 (multiplicity 1)
Ag 0.305 0.680 0.602 (multiplicity 1)
Ag 0.355 0.152 0.203 (multiplicity 1)
Ag 0.449 0.536 0.390 (multiplicity 1)
Ag 0.453 0.046 0.408 (multiplicity 1)
Ag 0.512 0.998 0.001 (multiplicity 1)
Ag 0.520 0.486 0.003 (multiplicity 1)
Ag 0.559 0.949 0.609 (multiplicity 1)
Ag 0.608 0.889 0.203 (multiplicity 1)
Ag 0.658 0.845 0.804 (multiplicity 1)
Ag 0.706 0.793 0.399 (multiplicity 1)
Ag 0.710 0.297 0.410 (multiplicity 1)
Ag 0.758 0.736 0.998 (multiplicity 1)
Ag 0.804 0.679 0.598 (multiplicity 1)
Ag 0.806 0.205 0.610 (multiplicity 1)
Ag 0.856 0.152 0.201 (multiplicity 1)
Ag 0.896 0.576 0.795 (multiplicity 1)
Ag 0.948 0.537 0.391 (multiplicity 1)


CuAg2: optimized geometry, PBE-GGA.

- Distance to the lowest polymorph of the same formula: 46.6 meV/atom

Cell lengths 2.8501, 2.8501, 20.5016 Å; angles 90.00, 90.00, 120.00 degrees
Space group P-3m1 (No. 164)
Unique sites:
Cu 0.0000 0.0000 0.0000 (multiplicity 1)
Cu 0.3333 0.6667 0.5466 (multiplicity 2)
Ag 0.0000 0.0000 0.3463 (multiplicity 2)
Ag 0.3333 0.6667 0.2263 (multiplicity 2)
Ag 0.3333 0.6667 0.8937 (multiplicity 2)


Cu2Ag7: optimized geometry, PBE-GGA.

- Distance to the lowest polymorph of the same formula: 33.3 meV/atom

Cell lengths 2.8861, 2.8861, 20.8759 Å; angles 90.00, 90.00, 120.00 degrees
Space group P-3m1 (No. 164)
Unique sites:
Cu 0.0000 0.0000 0.1631 (multiplicity 2)
Ag 0.0000 0.0000 0.5000 (multiplicity 1)
Ag 0.3333 0.6667 0.0593 (multiplicity 2)
Ag 0.3333 0.6667 0.3839 (multiplicity 2)
Ag 0.3333 0.6667 0.7333 (multiplicity 2)


Summary of calculated formation energy in meV per atom
96, 92, 75, 90, 90, 71, 93, 76, 62, 92, 99, 73, 85, 102, 111, 77, 57, 83, 78, 60
(order as listed above)